i | First-principles (GGA-PBE) data for Ta3RuF after structural relaxation, as listed in Alexandria.

```
data_Ta3RuF
_symmetry_space_group_name_H-M 'P m -3 m'
_symmetry_Int_Tables_number 221
_symmetry_space_group_name_Hall '-P 4 2 3'
_cell_length_a 4.814
_cell_length_b 4.814
_cell_length_c 4.814
_cell_angle_alpha 90.00
_cell_angle_beta 90.00
_cell_angle_gamma 90.00
loop_
_atom_site_label
_atom_site_type_symbol
_atom_site_fract_x
_atom_site_fract_y
_atom_site_fract_z
Ta1 Ta 0.000 0.000 0.500
Ru1 Ru 0.000 0.000 0.000
F1 F 0.500 0.500 0.500
```

=====

ii | First-principles (GGA-PBE) data for Ta3RuF after structural relaxation, as listed in Alexandria.

```
data_Ta3RuF
_symmetry_space_group_name_H-M 'P m -3 m'
_symmetry_Int_Tables_number 221
_symmetry_space_group_name_Hall '-P 4 2 3'
_cell_length_a 4.270
_cell_length_b 4.270
_cell_length_c 4.270
_cell_angle_alpha 90.00
_cell_angle_beta 90.00
_cell_angle_gamma 90.00
loop_
_atom_site_label
_atom_site_type_symbol
_atom_site_fract_x
_atom_site_fract_y
_atom_site_fract_z
Ta1 Ta 0.000 0.000 0.500
Ru1 Ru 0.500 0.500 0.500
F1 F 0.000 0.000 0.000
```

=====

Energy relative to the most stable one, in meV per atom: i 851; ii 0

=====

i | First-principles (GGA-PBE) data for TaRu2F after structural relaxation, as listed in Alexandria.

```
data_TaRu2F
_symmetry_space_group_name_H-M 'F m -3 m'
_symmetry_Int_Tables_number 225
_symmetry_space_group_name_Hall '-F 4 2 3'
_cell_length_a 6.133
_cell_length_b 6.133
_cell_length_c 6.133
_cell_angle_alpha 90.00
_cell_angle_beta 90.00
_cell_angle_gamma 90.00
loop_
_atom_site_label
_atom_site_type_symbol
_atom_site_fract_x
_atom_site_fract_y
_atom_site_fract_z
Ta1 Ta 0.000 0.000 0.000
Ru1 Ru 0.250 0.250 0.250
F1 F 0.000 0.000 0.500
```

=====

ii | First-principles (GGA-PBE) data for TaRu2F after structural relaxation, as listed in Alexandria.

```
data_TaRu2F
_symmetry_space_group_name_H-M 'I -4 2 d'
_symmetry_Int_Tables_number 122
_symmetry_space_group_name_Hall 'I -4 2bw'
_cell_length_a 6.769
_cell_length_b 6.769
_cell_length_c 5.044
_cell_angle_alpha 90.00
_cell_angle_beta 90.00
_cell_angle_gamma 90.00
loop_
_atom_site_label
_atom_site_type_symbol
_atom_site_fract_x
_atom_site_fract_y
_atom_site_fract_z
Ta1 Ta 0.000 0.000 0.000
Ru1 Ru 0.210 0.250 0.625
F1 F 0.000 0.000 0.500
```

=====

Energy relative to the most stable one, in meV per atom: i 0; ii 43

=====

i | First-principles (GGA-PBE) data for TcRuF3 after structural relaxation, as listed in Alexandria.

```
data_TcRuF3
_symmetry_space_group_name_H-M 'P m -3 m'
_symmetry_Int_Tables_number 221
_symmetry_space_group_name_Hall '-P 4 2 3'
_cell_length_a 4.184
_cell_length_b 4.184
_cell_length_c 4.184
_cell_angle_alpha 90.00
_cell_angle_beta 90.00
_cell_angle_gamma 90.00
loop_
_atom_site_label
_atom_site_type_symbol
_atom_site_fract_x
_atom_site_fract_y
_atom_site_fract_z
Tc1 Tc 0.000 0.000 0.000
Ru1 Ru 0.500 0.500 0.500
F1 F 0.000 0.000 0.500
```

=====

ii | First-principles (GGA-PBE) data for TcRuF3 after structural relaxation, as listed in Alexandria.

```
data_TcRuF3
_symmetry_space_group_name_H-M 'P m -3 m'
_symmetry_Int_Tables_number 221
_symmetry_space_group_name_Hall '-P 4 2 3'
_cell_length_a 4.222
_cell_length_b 4.222
_cell_length_c 4.222
_cell_angle_alpha 90.00
_cell_angle_beta 90.00
_cell_angle_gamma 90.00
loop_
_atom_site_label
_atom_site_type_symbol
_atom_site_fract_x
_atom_site_fract_y
_atom_site_fract_z
Tc1 Tc 0.000 0.000 0.000
Ru1 Ru 0.500 0.500 0.500
F1 F 0.000 0.500 0.500
```

=====

Energy relative to the most stable one, in meV per atom: i 93; ii 0

=====

i | First-principles (GGA-PBE) data for Tc3RuF after structural relaxation, as listed in Alexandria.

```
data_Tc3RuF
_symmetry_space_group_name_H-M 'P m -3 m'
_symmetry_Int_Tables_number 221
_symmetry_space_group_name_Hall '-P 4 2 3'
_cell_length_a 4.693
_cell_length_b 4.693
_cell_length_c 4.693
_cell_angle_alpha 90.00
_cell_angle_beta 90.00
_cell_angle_gamma 90.00
loop_
_atom_site_label
_atom_site_type_symbol
_atom_site_fract_x
_atom_site_fract_y
_atom_site_fract_z
Tc1 Tc 0.000 0.000 0.500
Ru1 Ru 0.000 0.000 0.000
F1 F 0.500 0.500 0.500
```

=====

ii | First-principles (GGA-PBE) data for Tc3RuF after structural relaxation, as listed in Alexandria.

```
data_Tc3RuF
_symmetry_space_group_name_H-M 'P m -3 m'
_symmetry_Int_Tables_number 221
_symmetry_space_group_name_Hall '-P 4 2 3'
_cell_length_a 4.116
_cell_length_b 4.116
_cell_length_c 4.116
_cell_angle_alpha 90.00
_cell_angle_beta 90.00
_cell_angle_gamma 90.00
loop_
_atom_site_label
_atom_site_type_symbol
_atom_site_fract_x
_atom_site_fract_y
_atom_site_fract_z
Tc1 Tc 0.000 0.000 0.500
Ru1 Ru 0.500 0.500 0.500
F1 F 0.000 0.000 0.000
```

=====

Energy relative to the most stable one, in meV per atom: i 825; ii 0

=====

i | First-principles (GGA-PBE) data for Te2RuF after structural relaxation, as listed in Alexandria.

```
data_Te2RuF
_symmetry_space_group_name_H-M 'R -3 m'
_symmetry_Int_Tables_number 166
_symmetry_space_group_name_Hall '-R 3 2"'
_cell_length_a 4.1199
_cell_length_b 4.1199
_cell_length_c 20.8655
_cell_angle_alpha 90.00
_cell_angle_beta 90.00
_cell_angle_gamma 120.00
loop_
_atom_site_label
_atom_site_type_symbol
_atom_site_fract_x
_atom_site_fract_y
_atom_site_fract_z
Te1 Te 0.0000 0.0000 0.1093
Ru1 Ru 0.0000 0.0000 0.5000
F1 F 0.0000 0.0000 0.0000
```

=====

ii | First-principles (GGA-PBE) data for Te2RuF after structural relaxation, as listed in Alexandria.

```
data_Te2RuF
_symmetry_space_group_name_H-M 'I -4 2 d'
_symmetry_Int_Tables_number 122
_symmetry_space_group_name_Hall 'I -4 2bw'
_cell_length_a 6.086
_cell_length_b 6.086
_cell_length_c 11.470
_cell_angle_alpha 90.00
_cell_angle_beta 90.00
_cell_angle_gamma 90.00
loop_
_atom_site_label
_atom_site_type_symbol
_atom_site_fract_x
_atom_site_fract_y
_atom_site_fract_z
Te1 Te 0.225 0.250 0.125
Ru1 Ru 0.000 0.000 0.000
F1 F 0.000 0.000 0.500
```

=====

Energy relative to the most stable one, in meV per atom: i 0; ii 235

=====

i | First-principles (GGA-PBE) data for Te3RuF after structural relaxation, as listed in Alexandria.

```
data_Te3RuF
_symmetry_space_group_name_H-M 'P m -3 m'
_symmetry_Int_Tables_number 221
_symmetry_space_group_name_Hall '-P 4 2 3'
_cell_length_a 5.139
_cell_length_b 5.139
_cell_length_c 5.139
_cell_angle_alpha 90.00
_cell_angle_beta 90.00
_cell_angle_gamma 90.00
loop_
_atom_site_label
_atom_site_type_symbol
_atom_site_fract_x
_atom_site_fract_y
_atom_site_fract_z
Te1 Te 0.000 0.000 0.500
Ru1 Ru 0.000 0.000 0.000
F1 F 0.500 0.500 0.500
```

=====

ii | First-principles (GGA-PBE) data for Te3RuF after structural relaxation, as listed in Alexandria.

```
data_Te3RuF
_symmetry_space_group_name_H-M 'P m -3 m'
_symmetry_Int_Tables_number 221
_symmetry_space_group_name_Hall '-P 4 2 3'
_cell_length_a 4.929
_cell_length_b 4.929
_cell_length_c 4.929
_cell_angle_alpha 90.00
_cell_angle_beta 90.00
_cell_angle_gamma 90.00
loop_
_atom_site_label
_atom_site_type_symbol
_atom_site_fract_x
_atom_site_fract_y
_atom_site_fract_z
Te1 Te 0.000 0.000 0.500
Ru1 Ru 0.500 0.500 0.500
F1 F 0.000 0.000 0.000
```

=====

Energy relative to the most stable one, in meV per atom: i 0; ii 442

=====

i | First-principles (GGA-PBE) data for TiRuF2 after structural relaxation, as listed in Alexandria.

```
data_TiRuF2
_symmetry_space_group_name_H-M 'R -3 m'
_symmetry_Int_Tables_number 166
_symmetry_space_group_name_Hall '-R 3 2"'
_cell_length_a 2.7068
_cell_length_b 2.7068
_cell_length_c 25.3140
_cell_angle_alpha 90.00
_cell_angle_beta 90.00
_cell_angle_gamma 120.00
loop_
_atom_site_label
_atom_site_type_symbol
_atom_site_fract_x
_atom_site_fract_y
_atom_site_fract_z
Ti1 Ti 0.0000 0.0000 0.0000
Ru1 Ru 0.0000 0.0000 0.5000
F1 F 0.0000 0.0000 0.3888
```

=====

ii | First-principles (GGA-PBE) data for TiRuF2 after structural relaxation, as listed in Alexandria.

```
data_TiRuF2
_symmetry_space_group_name_H-M 'F m -3 m'
_symmetry_Int_Tables_number 225
_symmetry_space_group_name_Hall '-F 4 2 3'
_cell_length_a 5.885
_cell_length_b 5.885
_cell_length_c 5.885
_cell_angle_alpha 90.00
_cell_angle_beta 90.00
_cell_angle_gamma 90.00
loop_
_atom_site_label
_atom_site_type_symbol
_atom_site_fract_x
_atom_site_fract_y
_atom_site_fract_z
Ti1 Ti 0.000 0.000 0.000
Ru1 Ru 0.000 0.000 0.500
F1 F 0.250 0.250 0.250
```

=====

iii | First-principles (GGA-PBE) data for TiRuF2 after structural relaxation, as listed in Alexandria.

```
data_TiRuF2
_symmetry_space_group_name_H-M 'I -4 2 d'
_symmetry_Int_Tables_number 122
_symmetry_space_group_name_Hall 'I -4 2bw'
_cell_length_a 3.611
_cell_length_b 3.611
_cell_length_c 15.041
_cell_angle_alpha 90.00
_cell_angle_beta 90.00
_cell_angle_gamma 90.00
loop_
_atom_site_label
_atom_site_type_symbol
_atom_site_fract_x
_atom_site_fract_y
_atom_site_fract_z
Ti1 Ti 0.000 0.000 0.000
Ru1 Ru 0.000 0.000 0.500
F1 F 0.229 0.250 0.125
```

=====

Energy relative to the most stable one, in meV per atom: i 0; ii 844; iii 233

=====

i | First-principles (GGA-PBE) data for TiRuF3 after structural relaxation, as listed in Alexandria.

```
data_TiRuF3
_symmetry_space_group_name_H-M 'P m -3 m'
_symmetry_Int_Tables_number 221
_symmetry_space_group_name_Hall '-P 4 2 3'
_cell_length_a 4.207
_cell_length_b 4.207
_cell_length_c 4.207
_cell_angle_alpha 90.00
_cell_angle_beta 90.00
_cell_angle_gamma 90.00
loop_
_atom_site_label
_atom_site_type_symbol
_atom_site_fract_x
_atom_site_fract_y
_atom_site_fract_z
Ti1 Ti 0.000 0.000 0.000
Ru1 Ru 0.500 0.500 0.500
F1 F 0.000 0.500 0.500
```

=====

ii | First-principles (GGA-PBE) data for TiRuF3 after structural relaxation, as listed in Alexandria.

```
data_TiRuF3
_symmetry_space_group_name_H-M 'P m -3 m'
_symmetry_Int_Tables_number 221
_symmetry_space_group_name_Hall '-P 4 2 3'
_cell_length_a 4.091
_cell_length_b 4.091
_cell_length_c 4.091
_cell_angle_alpha 90.00
_cell_angle_beta 90.00
_cell_angle_gamma 90.00
loop_
_atom_site_label
_atom_site_type_symbol
_atom_site_fract_x
_atom_site_fract_y
_atom_site_fract_z
Ti1 Ti 0.000 0.000 0.000
Ru1 Ru 0.500 0.500 0.500
F1 F 0.000 0.000 0.500
```

=====

Energy relative to the most stable one, in meV per atom: i 842; ii 0